one) DFT (PBE) results for a geometry-optimized Zn3CdAu2 structure.

Summary:
Fermi-level density of states: 1.687 states/eV/f.u.
size of the total moment: 0.000 μB/cell
SG: No. 12

Cell: 4.0281 9.5262 9.6938 Å, 114.59 90.00 102.21°
Element x y z (fractional)
1 Zn 0.0455 0.0910 0.3517
2 Zn 0.9545 0.9090 0.6483
3 Zn 0.2040 0.4079 0.4225
4 Zn 0.7960 0.5921 0.5775
5 Zn 0.6264 0.2529 0.1974
6 Zn 0.3736 0.7471 0.8026
7 Zn 0.5000 0.0000 0.5000
8 Zn 0.3111 0.6222 0.0166
9 Zn 0.6889 0.3778 0.9834
10 Cd 0.1314 0.2629 0.7260
11 Cd 0.8686 0.7371 0.2740
12 Cd 0.0000 0.0000 0.0000
13 Au 0.2262 0.4525 0.1763
14 Au 0.7738 0.5475 0.8237
15 Au 0.4652 0.9304 0.1780
16 Au 0.5348 0.0696 0.8220
17 Au 0.3596 0.7193 0.4948
18 Au 0.6404 0.2807 0.5052

two) DFT (PBE) results for a geometry-optimized Zn3CdAu2 structure.

Summary:
Fermi-level density of states: 1.530 states/eV/f.u.
size of the total moment: 0.000 μB/cell
SG: No. 12

Cell: 4.3312 7.1908 8.7370 Å, 123.30 90.00 107.53°
Element x y z (fractional)
1 Zn 0.2826 0.5652 0.4248
2 Zn 0.9627 0.9254 0.6198
3 Zn 0.6317 0.2634 0.8274
4 Zn 0.3683 0.7366 0.1726
5 Zn 0.0373 0.0746 0.3802
6 Zn 0.7174 0.4348 0.5752
7 Cd 0.8820 0.7640 0.9706
8 Cd 0.1180 0.2360 0.0294
9 Au 0.4287 0.8575 0.7851
10 Au 0.5713 0.1425 0.2149
11 Au 0.7990 0.5980 0.2518
12 Au 0.2010 0.4020 0.7482

The most stable arrangement is two), and the next structure is 31 meV/atom less stable.

one) DFT (PBE) results for a geometry-optimized Zn2CdAu5 structure.

Summary:
Fermi-level density of states: 2.186 states/eV/f.u.
size of the total moment: 0.000 μB/cell
SG: No. 71

Cell: 3.0384 7.1785 7.1785 Å, 71.00 77.78 77.78°
Element x y z (fractional)
1 Zn 0.7640 0.7360 0.7360
2 Zn 0.2360 0.2640 0.2640
3 Cd 0.0000 0.0000 0.0000
4 Au 0.0000 0.5000 0.5000
5 Au 0.6321 0.6116 0.1242
6 Au 0.3679 0.3884 0.8758
7 Au 0.3679 0.8758 0.3884
8 Au 0.6321 0.1242 0.6116

two) DFT (PBE) results for a geometry-optimized Zn2CdAu5 structure.

Summary:
Fermi-level density of states: 1.788 states/eV/f.u.
size of the total moment: 0.000 μB/cell
SG: No. 65

Cell: 8.6722 7.4610 8.6769 Å, 90.00 90.00 90.00°
Element x y z (fractional)
1 Zn 0.0000 0.0000 0.7817
2 Zn 0.0000 0.0000 0.2183
3 Zn 0.0000 0.5000 0.2817
4 Zn 0.0000 0.5000 0.7183
5 Zn 0.7484 0.0000 0.5000
6 Zn 0.2516 0.5000 0.0000
7 Zn 0.2516 0.0000 0.5000
8 Zn 0.7484 0.5000 0.0000
9 Cd 0.5000 0.5000 0.7202
10 Cd 0.5000 0.5000 0.2798
11 Cd 0.5000 0.0000 0.2202
12 Cd 0.5000 0.0000 0.7798
13 Au 0.7674 0.2499 0.7499
14 Au 0.7674 0.7501 0.2501
15 Au 0.2326 0.2501 0.2499
16 Au 0.2326 0.7499 0.7501
17 Au 0.2326 0.7501 0.2501
18 Au 0.2326 0.2499 0.7499
19 Au 0.7674 0.7499 0.7501
20 Au 0.7674 0.2501 0.2499
21 Au 0.5000 0.2900 0.0000
22 Au 0.5000 0.7100 0.0000
23 Au 0.5000 0.2100 0.5000
24 Au 0.5000 0.7900 0.5000
25 Au 0.0000 0.2953 0.9999
26 Au 0.0000 0.7047 0.0001
27 Au 0.0000 0.2047 0.4999
28 Au 0.0000 0.7953 0.5001
29 Au 0.7601 0.0000 0.0000
30 Au 0.2399 0.5000 0.5000
31 Au 0.2399 0.0000 0.0000
32 Au 0.7601 0.5000 0.5000

The most stable arrangement is two), and the next structure is 32 meV/atom less stable.

one) DFT (PBE) results for a geometry-optimized Zn6CdAu12 structure.

Summary:
Fermi-level density of states: 6.520 states/eV/f.u.
size of the total moment: 0.000 μB/cell
SG: No. 166

Cell: 7.5808 7.5808 7.5808 Å, 107.64 107.64 107.64°
Element x y z (fractional)
1 Zn 0.6981 0.2940 0.2940
2 Zn 0.2940 0.2940 0.6981
3 Zn 0.2940 0.6981 0.2940
4 Zn 0.7060 0.7060 0.3019
5 Zn 0.3019 0.7060 0.7060
6 Zn 0.7060 0.3019 0.7060
7 Cd 0.0000 0.0000 0.0000
8 Au 0.8802 0.1198 0.5000
9 Au 0.8762 0.6389 0.6389
10 Au 0.6389 0.6389 0.8762
11 Au 0.3611 0.1238 0.3611
12 Au 0.3611 0.3611 0.1238
13 Au 0.1238 0.3611 0.3611
14 Au 0.1198 0.5000 0.8802
15 Au 0.5000 0.8802 0.1198
16 Au 0.1198 0.8802 0.5000
17 Au 0.8802 0.5000 0.1198
18 Au 0.5000 0.1198 0.8802
19 Au 0.6389 0.8762 0.6389

two) DFT (PBE) results for a geometry-optimized Zn6CdAu12 structure.

Summary:
Fermi-level density of states: 6.163 states/eV/f.u.
size of the total moment: 0.000 μB/cell
SG: No. 148

Cell: 7.0402 7.6884 7.6884 Å, 68.88 72.23 107.77°
Element x y z (fractional)
1 Zn 0.4246 0.4736 0.2232
2 Zn 0.0490 0.6967 0.5264
3 Zn 0.3523 0.7768 0.6967
4 Zn 0.5754 0.5264 0.7768
5 Zn 0.9510 0.3033 0.4736
6 Zn 0.6477 0.2232 0.3033
7 Cd 0.0000 0.0000 0.0000
8 Au 0.5215 0.8657 0.2779
9 Au 0.6558 0.8564 0.8657
10 Au 0.7994 0.2779 0.8564
11 Au 0.4785 0.1343 0.7221
12 Au 0.3442 0.1436 0.1343
13 Au 0.2006 0.7221 0.1436
14 Au 0.2655 0.4325 0.6180
15 Au 0.1165 0.3820 0.0505
16 Au 0.1670 0.0505 0.5675
17 Au 0.7345 0.5675 0.3820
18 Au 0.8835 0.6180 0.9495
19 Au 0.8330 0.9495 0.4325

The most stable arrangement is two), and the next structure is 60 meV/atom less stable.

one) DFT (PBE) results for a geometry-optimized ZnCd3Au4 structure.

Summary:
Fermi-level density of states: 1.540 states/eV/f.u.
size of the total moment: 0.000 μB/cell
SG: No. 12

Cell: 4.5396 4.6239 10.1572 Å, 132.51 102.91 90.00°
Element x y z (fractional)
1 Zn 0.5000 0.0000 0.0000
2 Cd 0.0000 0.5000 0.0000
3 Cd 0.2506 0.2492 0.5013
4 Cd 0.7494 0.7508 0.4987
5 Au 0.6195 0.8643 0.2390
6 Au 0.3805 0.1357 0.7610
7 Au 0.8824 0.6484 0.7647
8 Au 0.1176 0.3516 0.2353

two) DFT (PBE) results for a geometry-optimized ZnCd3Au4 structure.

Summary:
Fermi-level density of states: 2.293 states/eV/f.u.
size of the total moment: 0.000 μB/cell
SG: No. 123

Cell: 3.1620 3.1620 14.8909 Å, 90.00 90.00 90.00°
Element x y z (fractional)
1 Zn 0.5000 0.5000 0.0000
2 Au 0.0000 0.0000 0.8927
3 Au 0.0000 0.0000 0.1073
4 Au 0.0000 0.0000 0.3700
5 Au 0.0000 0.0000 0.6300
6 Cd 0.5000 0.5000 0.2401
7 Cd 0.5000 0.5000 0.5000
8 Cd 0.5000 0.5000 0.7599

The most stable arrangement is two), and the next structure is 15 meV/atom less stable.

one) DFT (PBE) results for a geometry-optimized ZnCd2Au2 structure.

Summary:
Fermi-level density of states: 1.356 states/eV/f.u.
size of the total moment: 0.000 μB/cell
SG: No. 12

Cell: 4.5625 5.4478 9.2482 Å, 74.43 75.72 65.24°
Element x y z (fractional)
1 Zn 0.7812 0.0704 0.3672
2 Zn 0.2188 0.9296 0.6328
3 Cd 0.3369 0.2611 0.0651
4 Cd 0.5210 0.2964 0.6615
5 Cd 0.6631 0.7389 0.9349
6 Cd 0.4790 0.7036 0.3385
7 Au 0.9703 0.1935 0.8660
8 Au 0.1475 0.3258 0.3792
9 Au 0.0297 0.8065 0.1340
10 Au 0.8525 0.6742 0.6208

two) DFT (PBE) results for a geometry-optimized ZnCd2Au2 structure.

Summary:
Fermi-level density of states: 1.238 states/eV/f.u.
size of the total moment: 0.000 μB/cell
SG: No. 127

Cell: 7.4412 7.4412 3.6815 Å, 90.00 90.00 90.00°
Element x y z (fractional)
1 Zn 0.0000 0.0000 0.0000
2 Zn 0.5000 0.5000 0.0000
3 Au 0.1426 0.6426 0.5000
4 Au 0.6426 0.8574 0.5000
5 Au 0.8574 0.3574 0.5000
6 Au 0.3574 0.1426 0.5000
7 Cd 0.3434 0.8434 0.0000
8 Cd 0.8434 0.6566 0.0000
9 Cd 0.6566 0.1566 0.0000
10 Cd 0.1566 0.3434 0.0000

The most stable arrangement is one), and the next structure is 141 meV/atom less stable.

one) DFT (PBE) results for a geometry-optimized ZnCd2Au2 structure.

Summary:
Fermi-level density of states: 1.798 states/eV/f.u.
size of the total moment: 0.000 μB/cell
SG: No. 139

Cell: 3.8631 3.8631 7.7962 Å, 75.66 75.66 90.00°
Element x y z (fractional)
1 Zn 0.0000 0.0000 0.0000
2 Au 0.7500 0.2500 0.5000
3 Au 0.2500 0.7500 0.5000
4 Cd 0.4014 0.4014 0.1972
5 Cd 0.5986 0.5986 0.8028

two) DFT (PBE) results for a geometry-optimized ZnCd2Au2 structure.

Summary:
Fermi-level density of states: 1.783 states/eV/f.u.
size of the total moment: 0.000 μB/cell
SG: No. 71

Cell: 4.3754 5.6565 5.4181 Å, 121.47 113.81 90.00°
Element x y z (fractional)
1 Zn 0.0000 0.0000 0.0000
2 Cd 0.8114 0.3114 0.6227
3 Cd 0.1886 0.6886 0.3773
4 Au 0.5000 0.7442 0.0000
5 Au 0.5000 0.2558 0.0000

The most stable arrangement is two), and the next structure is 190 meV/atom less stable.

one) DFT (PBE) results for a geometry-optimized ZnCd2Au2 structure.

Summary:
Fermi-level density of states: 1.679 states/eV/f.u.
size of the total moment: 0.000 μB/cell
SG: No. 139

Cell: 3.9391 3.9391 7.4117 Å, 74.59 74.59 90.00°
Element x y z (fractional)
1 Zn 0.0000 0.0000 0.0000
2 Au 0.4038 0.4038 0.1924
3 Au 0.5962 0.5962 0.8076
4 Cd 0.7500 0.2500 0.5000
5 Cd 0.2500 0.7500 0.5000

two) DFT (PBE) results for a geometry-optimized ZnCd2Au2 structure.

Summary:
Fermi-level density of states: 1.510 states/eV/f.u.
size of the total moment: 0.000 μB/cell
SG: No. 127

Cell: 7.0380 7.0380 4.0593 Å, 90.00 90.00 90.00°
Element x y z (fractional)
1 Zn 0.0000 0.0000 0.0000
2 Zn 0.5000 0.5000 0.0000
3 Au 0.3500 0.8500 0.0000
4 Au 0.8500 0.6500 0.0000
5 Au 0.6500 0.1500 0.0000
6 Au 0.1500 0.3500 0.0000
7 Cd 0.1550 0.6550 0.5000
8 Cd 0.6550 0.8450 0.5000
9 Cd 0.8450 0.3450 0.5000
10 Cd 0.3450 0.1550 0.5000

The most stable arrangement is two), and the next structure is 190 meV/atom less stable.

one) DFT (PBE) results for a geometry-optimized Zn3CdAu3 structure.

Summary:
Fermi-level density of states: 3.272 states/eV/f.u.
size of the total moment: 0.000 μB/cell
SG: No. 223

Cell: 7.1762 7.1762 7.1762 Å, 90.00 90.00 90.00°
Element x y z (fractional)
1 Zn 0.2500 0.0000 0.5000
2 Zn 0.0000 0.5000 0.2500
3 Zn 0.5000 0.7500 0.0000
4 Zn 0.7500 0.0000 0.5000
5 Zn 0.0000 0.5000 0.7500
6 Zn 0.5000 0.2500 0.0000
7 Au 0.0000 0.2500 0.5000
8 Au 0.0000 0.7500 0.5000
9 Au 0.5000 0.0000 0.7500
10 Au 0.7500 0.5000 0.0000
11 Au 0.5000 0.0000 0.2500
12 Au 0.2500 0.5000 0.0000
13 Cd 0.5000 0.5000 0.5000
14 Cd 0.0000 0.0000 0.0000

two) DFT (PBE) results for a geometry-optimized Zn3CdAu3 structure.

Summary:
Fermi-level density of states: 3.126 states/eV/f.u.
size of the total moment: 0.000 μB/cell
SG: No. 198

Cell: 7.9215 7.9215 7.9215 Å, 90.00 90.00 90.00°
Element x y z (fractional)
1 Zn 0.8320 0.3320 0.1680
2 Zn 0.8663 0.8663 0.8663
3 Zn 0.8203 0.6797 0.3203
4 Zn 0.1680 0.8320 0.3320
5 Zn 0.1797 0.1797 0.1797
6 Zn 0.3203 0.8203 0.6797
7 Zn 0.1337 0.3663 0.6337
8 Zn 0.3320 0.1680 0.8320
9 Zn 0.6797 0.3203 0.8203
10 Zn 0.6680 0.6680 0.6680
11 Zn 0.6337 0.1337 0.3663
12 Zn 0.3663 0.6337 0.1337
13 Cd 0.0477 0.5477 0.9523
14 Cd 0.9523 0.0477 0.5477
15 Cd 0.4523 0.4523 0.4523
16 Cd 0.5477 0.9523 0.0477
17 Au 0.6925 0.6116 0.0132
18 Au 0.8884 0.9868 0.1925
19 Au 0.0132 0.6925 0.6116
20 Au 0.1116 0.4868 0.3075
21 Au 0.3075 0.1116 0.4868
22 Au 0.1925 0.8884 0.9868
23 Au 0.9868 0.1925 0.8884
24 Au 0.3884 0.5132 0.8075
25 Au 0.4868 0.3075 0.1116
26 Au 0.6116 0.0132 0.6925
27 Au 0.8075 0.3884 0.5132
28 Au 0.5132 0.8075 0.3884

The most stable arrangement is two), and the next structure is 351 meV/atom less stable.

one) DFT (PBE) results for a geometry-optimized Zn4CdAu2 structure.

Summary:
Fermi-level density of states: 1.661 states/eV/f.u.
size of the total moment: 0.000 μB/cell
SG: No. 136

Cell: 4.0555 7.8932 7.8932 Å, 90.00 90.00 90.00°
Element x y z (fractional)
1 Zn 0.0000 0.1044 0.3607
2 Zn 0.0000 0.8956 0.6393
3 Zn 0.5000 0.1393 0.6044
4 Zn 0.5000 0.8607 0.3956
5 Zn 0.5000 0.3956 0.8607
6 Zn 0.5000 0.6044 0.1393
7 Zn 0.0000 0.3607 0.1044
8 Zn 0.0000 0.6393 0.8956
9 Cd 0.5000 0.0000 0.0000
10 Cd 0.0000 0.5000 0.5000
11 Au 0.0000 0.1811 0.8189
12 Au 0.0000 0.8189 0.1811
13 Au 0.5000 0.6811 0.6811
14 Au 0.5000 0.3189 0.3189

two) DFT (PBE) results for a geometry-optimized Zn4CdAu2 structure.

Summary:
Fermi-level density of states: 2.476 states/eV/f.u.
size of the total moment: 0.000 μB/cell
SG: No. 166

Cell: 4.4509 4.4509 7.7478 Å, 73.31 73.31 60.00°
Element x y z (fractional)
1 Zn 0.8679 0.8679 0.3963
2 Zn 0.1321 0.1321 0.6037
3 Zn 0.6089 0.6089 0.1733
4 Zn 0.3911 0.3911 0.8267
5 Cd 0.0000 0.0000 0.0000
6 Au 0.7495 0.7495 0.7516
7 Au 0.2505 0.2505 0.2484

The most stable arrangement is one), and the next structure is 17 meV/atom less stable.

one) DFT (PBE) results for a geometry-optimized ZnCd4Au structure.

Summary:
Fermi-level density of states: 1.551 states/eV/f.u.
size of the total moment: 0.000 μB/cell
SG: No. 140

Cell: 6.9118 6.9118 7.2866 Å, 118.31 118.31 90.00°
Element x y z (fractional)
1 Zn 0.5000 0.5000 0.0000
2 Zn 0.0000 0.0000 0.0000
3 Cd 0.4797 0.9797 0.2674
4 Cd 0.9797 0.7877 0.2674
5 Cd 0.2877 0.4797 0.2674
6 Cd 0.7123 0.5203 0.7326
7 Cd 0.0203 0.2123 0.7326
8 Cd 0.5203 0.0203 0.7326
9 Cd 0.2123 0.7123 0.7326
10 Cd 0.7877 0.2877 0.2674
11 Au 0.2500 0.2500 0.5000
12 Au 0.7500 0.7500 0.5000

two) DFT (PBE) results for a geometry-optimized ZnCd4Au structure.

Summary:
Fermi-level density of states: 1.702 states/eV/f.u.
size of the total moment: 0.000 μB/cell
SG: No. 216

Cell: 5.6679 5.6679 5.6679 Å, 60.00 60.00 60.00°
Element x y z (fractional)
1 Zn 0.7500 0.7500 0.7500
2 Cd 0.8755 0.3748 0.3748
3 Cd 0.3748 0.3748 0.8755
4 Cd 0.3748 0.8755 0.3748
5 Cd 0.3748 0.3748 0.3748
6 Au 0.0000 0.0000 0.0000

The most stable arrangement is one), and the next structure is 261 meV/atom less stable.